Rb2LiWO4: relaxed, PBE+U.

Cell: 12.137 10.673 6.912 Å, 84.40 61.07 34.52°
Positions (direct):
Rb 0.056 0.056 0.694
Rb 0.306 0.306 0.944
Rb 0.694 0.694 0.056
Rb 0.944 0.944 0.306
Li 0.375 0.375 0.375
Li 0.625 0.625 0.625
W 0.125 0.125 0.125
W 0.875 0.875 0.875
O 0.024 0.301 0.411
O 0.237 0.589 0.699
O 0.301 0.024 0.763
O 0.411 0.763 0.024
O 0.589 0.237 0.976
O 0.699 0.976 0.237
O 0.763 0.411 0.301
O 0.976 0.699 0.589

Summary:
- spin magnetization (Bohr magnetons per cell) = 2.000
- E (eV/atom) = -5.637